Entry 1:
Below is a relaxed structure of Cr3IrOs, with properties calculated at the PBE level.

Results
Crystal system ... cubic
Space-group type ... Pm-3m (221)

Lattice parameters (Å, degrees): 4.3996 4.3996 4.3996 90.00 90.00 90.00
With the nearest neighbours (Å) after each atom.
Atoms (fractional coordinates):
Cr 0.0000 0.5000 0.0000  2 Os 2.20
Cr 0.5000 0.0000 0.0000  2 Os 2.20
Cr 0.0000 0.0000 0.5000  2 Os 2.20
Os 0.0000 0.0000 0.0000  6 Cr 2.20
Ir 0.5000 0.5000 0.5000  12 Cr 3.11

=====

Entry 2:
Below is a relaxed structure of CrIr3Os, with properties calculated at the PBE level.

Results
Energy relative to the lowest polymorph listed for this composition ... 0 meV/atom
Crystal system ... monoclinic
Space-group type ... C2/m (12)

Lattice parameters (Å, degrees): 4.3135 5.4124 6.5976 101.95 109.09 89.99
With the nearest neighbours (Å) after each atom.
Atoms (fractional coordinates):
Os 0.2395 0.4028 0.5120  7 Ir 2.57-2.75, 1 Cr 2.65, 2 Os 2.69
Os 0.8045 0.1757 0.6421  7 Ir 2.57-2.75, 1 Cr 2.65, 2 Os 2.69
Ir 0.6243 0.3451 0.2816  2 Ir 2.49-2.69, 3 Os 2.57-2.61, 2 Cr 2.68-2.74
Ir 0.4197 0.2333 0.8725  2 Ir 2.49-2.69, 3 Os 2.57-2.61, 2 Cr 2.68-2.74
Ir 0.2278 0.8897 0.4888  3 Cr 2.55-2.78, 4 Os 2.67-2.75, 4 Ir 2.69-2.75
Ir 0.0284 0.5513 0.0898  8 Ir 2.61-2.90, 4 Cr 2.73-2.81, 1 Os 2.92
Ir 0.0156 0.0271 0.0642  8 Ir 2.61-2.90, 4 Cr 2.73-2.81, 1 Os 2.92
Ir 0.8161 0.6888 0.6653  3 Cr 2.55-2.78, 4 Os 2.67-2.75, 4 Ir 2.69-2.75
Cr 0.6162 0.8352 0.2656  1 Cr 2.29, 2 Ir 2.55
Cr 0.4277 0.7432 0.8884  1 Cr 2.29, 2 Ir 2.55

=====

Entry 3:
Below is a relaxed structure of Cr2IrOs, with properties calculated at the PBE level.

Results
Energy relative to the lowest polymorph listed for this composition ... 154 meV/atom
Crystal system ... orthorhombic
Space-group type ... Imm2 (44)

Lattice parameters (Å, degrees): 5.0145 5.0145 5.0145 146.93 129.36 61.82
With the nearest neighbours (Å) after each atom.
Atoms (fractional coordinates):
Ir 0.5177 0.5177 0.0000  6 Cr 2.60-2.62, 4 Os 2.82-2.85, 2 Ir 2.85
Os 0.2312 0.7312 0.5000  6 Cr 2.60, 4 Ir 2.82-2.85, 2 Os 2.85
Cr 0.7730 0.2730 0.5000  2 Cr 2.27
Cr 0.9781 0.9781 0.0000  2 Cr 2.27

=====

Entry 4:
Below is a relaxed structure of Cr3Ir12Os, with properties calculated at the PBE level.

Results
Crystal system ... tetragonal
Space-group type ... P4/mmm (123)

Lattice parameters (Å, degrees): 3.8366 3.8366 15.3642 90.00 90.00 90.00
With the nearest neighbours (Å) after each atom.
Atoms (fractional coordinates):
Ir 0.5000 0.5000 0.5000  8 Ir 2.71, 4 Cr 2.71
Ir 0.0000 0.5000 0.6247  4 Cr 2.67-2.71, 8 Ir 2.71
Ir 0.0000 0.5000 0.3753  4 Cr 2.67-2.71, 8 Ir 2.71
Ir 0.5000 0.0000 0.1259  8 Ir 2.71-2.72, 2 Os 2.72, 2 Cr 2.76
Ir 0.5000 0.0000 0.8741  8 Ir 2.71-2.72, 2 Os 2.72, 2 Cr 2.76
Ir 0.5000 0.5000 0.7496  8 Ir 2.71, 4 Cr 2.71
Ir 0.5000 0.0000 0.6247  4 Cr 2.67-2.71, 8 Ir 2.71
Ir 0.0000 0.5000 0.8741  8 Ir 2.71-2.72, 2 Os 2.72, 2 Cr 2.76
Ir 0.5000 0.0000 0.3753  4 Cr 2.67-2.71, 8 Ir 2.71
Ir 0.5000 0.5000 0.0000  4 Os 2.71, 8 Ir 2.72
Ir 0.0000 0.5000 0.1259  8 Ir 2.71-2.72, 2 Os 2.72, 2 Cr 2.76
Ir 0.5000 0.5000 0.2504  8 Ir 2.71, 4 Cr 2.71
Os 0.0000 0.0000 0.0000  12 Ir 2.71-2.72
Cr 0.0000 0.0000 0.5000  12 Ir 2.71
Cr 0.0000 0.0000 0.2548  12 Ir 2.67-2.76
Cr 0.0000 0.0000 0.7452  12 Ir 2.67-2.76

=====

Entry 5:
Below is a relaxed structure of Cr4IrOs, with properties calculated at the PBE level.

Results
Crystal system ... cubic
Space-group type ... F-43m (216)

Lattice parameters (Å, degrees): 4.7231 4.7231 4.7231 60.00 60.00 60.00
With the nearest neighbours (Å) after each atom.
Atoms (fractional coordinates):
Cr 0.6251 0.6251 0.6251  6 Cr 2.36
Cr 0.6251 0.1247 0.6251  6 Cr 2.36
Cr 0.1247 0.6251 0.6251  6 Cr 2.36
Cr 0.6251 0.6251 0.1247  6 Cr 2.36
Os 0.0000 0.0000 0.0000  12 Cr 2.77, 4 Ir 2.89
Ir 0.2500 0.2500 0.2500  12 Cr 2.77, 4 Os 2.89

=====

Entry 6:
Below is a relaxed structure of Cr2IrOs, with properties calculated at the PBE level.

Results
Energy relative to the lowest polymorph listed for this composition ... 92 meV/atom
Crystal system ... trigonal
Space-group type ... R-3m (166)

Lattice parameters (Å, degrees): 8.7166 8.7166 8.7166 17.66 17.66 17.66
With the nearest neighbours (Å) after each atom.
Atoms (fractional coordinates):
Cr 0.5003 0.5003 0.5003  3 Ir 2.64, 3 Os 2.65, 6 Cr 2.68
Cr 0.9997 0.9997 0.9997  3 Ir 2.64, 3 Os 2.65, 6 Cr 2.68
Ir 0.2500 0.2500 0.2500  6 Cr 2.64, 6 Ir 2.68
Os 0.7500 0.7500 0.7500  6 Cr 2.65, 6 Os 2.68

=====

Entry 7:
Below is a relaxed structure of Cr2IrOs, with properties calculated at the PBE level.

Results
Energy relative to the lowest polymorph listed for this composition ... 5 meV/atom
Crystal system ... orthorhombic
Space-group type ... Cmmm (65)

Lattice parameters (Å, degrees): 4.5533 4.5533 2.6743 90.00 90.00 107.95
With the nearest neighbours (Å) after each atom.
Atoms (fractional coordinates):
Ir 0.5000 0.0000 0.5000  8 Cr 2.64, 2 Ir 2.67, 2 Os 2.68
Cr 0.0000 0.0000 0.0000  4 Ir 2.64, 4 Os 2.64, 4 Cr 2.67-2.68
Cr 0.5000 0.5000 0.0000  4 Os 2.64, 4 Ir 2.64, 4 Cr 2.67-2.68
Os 0.0000 0.5000 0.5000  8 Cr 2.64, 2 Os 2.67, 2 Ir 2.68

=====

Entry 8:
Below is a relaxed structure of Cr2IrOs, with properties calculated at the PBE level.

Results
Energy relative to the lowest polymorph listed for this composition ... 13 meV/atom
Crystal system ... orthorhombic
Space-group type ... Amm2 (38)

Lattice parameters (Å, degrees): 4.0038 2.6794 5.0683 74.69 90.00 90.00
With the nearest neighbours (Å) after each atom.
Atoms (fractional coordinates):
Cr 0.0000 0.1865 0.0019  2 Cr 2.33, 1 Ir 2.60
Cr 0.5000 0.0642 0.2468  2 Cr 2.33
Ir 0.0000 0.4529 0.4696  7 Cr 2.60-2.65, 2 Ir 2.68, 4 Os 2.85
Os 0.5000 0.7964 0.7817  7 Cr 2.61-2.64, 2 Os 2.68, 4 Ir 2.85

=====

Entry 9:
Below is a relaxed structure of CrIr2Os, with properties calculated at the PBE level.

Results
Energy relative to the lowest polymorph listed for this composition ... 106 meV/atom
Crystal system ... monoclinic
Space-group type ... Cm (8)

Lattice parameters (Å, degrees): 4.6686 4.6686 4.6805 79.99 79.99 33.65
With the nearest neighbours (Å) after each atom.
Atoms (fractional coordinates):
Os 0.5031 0.5031 0.4991  7 Ir 2.66-2.75, 3 Cr 2.67-2.74, 2 Os 2.70
Ir 0.7519 0.7519 0.7405  3 Os 2.67-2.69, 4 Cr 2.68-2.73, 5 Ir 2.70-2.77
Ir 0.9952 0.9952 0.0134  3 Cr 2.64-2.70, 4 Os 2.66-2.75, 5 Ir 2.70-2.77
Cr 0.2498 0.2498 0.2470  7 Ir 2.64-2.73, 3 Os 2.67-2.74, 2 Cr 2.70

=====

Entry 10:
Below is a relaxed structure of Cr2IrOs, with properties calculated at the PBE level.

Results
Energy relative to the lowest polymorph listed for this composition ... 2 meV/atom
Crystal system ... tetragonal
Space-group type ... P4/mmm (123)

Lattice parameters (Å, degrees): 3.7961 3.7961 3.6581 90.00 90.00 90.00
With the nearest neighbours (Å) after each atom.
Atoms (fractional coordinates):
Cr 0.5000 0.5000 0.0000  4 Os 2.64, 4 Ir 2.64, 4 Cr 2.68
Cr 0.0000 0.0000 0.0000  4 Os 2.64, 4 Ir 2.64, 4 Cr 2.68
Os 0.0000 0.5000 0.5000  8 Cr 2.64, 4 Ir 2.68
Ir 0.5000 0.0000 0.5000  8 Cr 2.64, 4 Os 2.68

=====

Entry 11:
Below is a relaxed structure of CrIr2Os, with properties calculated at the PBE level.

Results
Energy relative to the lowest polymorph listed for this composition ... 600 meV/atom
Crystal system ... cubic
Space-group type ... F-43m (216)

Lattice parameters (Å, degrees): 4.3142 4.3142 4.3142 60.00 60.00 60.00
With the nearest neighbours (Å) after each atom.
Atoms (fractional coordinates):
Ir 0.7500 0.7500 0.7500  4 Cr 2.64, 4 Ir 2.64
Ir 0.0000 0.0000 0.0000  4 Ir 2.64, 4 Os 2.64
Cr 0.5000 0.5000 0.5000  4 Os 2.64, 4 Ir 2.64
Os 0.2500 0.2500 0.2500  4 Cr 2.64, 4 Ir 2.64

=====

Entry 12:
Below is a relaxed structure of Cr2IrOs, with properties calculated at the PBE level.

Results
Energy relative to the lowest polymorph listed for this composition ... 17 meV/atom
Crystal system ... tetragonal
Space-group type ... I-4m2 (119)

Lattice parameters (Å, degrees): 4.6427 4.6427 4.6427 132.76 132.76 69.03
With the nearest neighbours (Å) after each atom.
Atoms (fractional coordinates):
Os 0.7500 0.2500 0.5000  8 Cr 2.63-2.67, 4 Ir 2.67
Cr 0.2500 0.7500 0.5000  4 Os 2.63, 4 Ir 2.67, 4 Cr 2.67
Cr 0.0000 0.0000 0.0000  4 Ir 2.63, 4 Cr 2.67, 4 Os 2.67
Ir 0.5000 0.5000 0.0000  8 Cr 2.63-2.67, 4 Os 2.67

=====

Entry 13:
Below is a relaxed structure of Cr2IrOs, with properties calculated at the PBE level.

Results
Energy relative to the lowest polymorph listed for this composition ... 8 meV/atom
Crystal system ... orthorhombic
Space-group type ... Pmmm (47)

Lattice parameters (Å, degrees): 2.6726 3.6769 5.3720 90.00 90.00 90.00
With the nearest neighbours (Å) after each atom.
Atoms (fractional coordinates):
Os 0.5000 0.5000 0.7500  8 Cr 2.63, 2 Os 2.67, 2 Ir 2.69
Cr 0.0000 0.0000 0.9950  4 Os 2.63, 4 Cr 2.63-2.74, 4 Ir 2.65
Cr 0.0000 0.0000 0.5050  4 Os 2.63, 4 Cr 2.63-2.74, 4 Ir 2.65
Ir 0.5000 0.5000 0.2500  8 Cr 2.65, 2 Ir 2.67, 2 Os 2.69

=====

Entry 14:
Below is a relaxed structure of CrIr2Os, with properties calculated at the PBE level.

Results
Energy relative to the lowest polymorph listed for this composition ... 130 meV/atom
Crystal system ... monoclinic
Space-group type ... C2/m (12)

Lattice parameters (Å, degrees): 4.6942 4.6942 4.6502 80.15 80.15 33.57
With the nearest neighbours (Å) after each atom.
Atoms (fractional coordinates):
Os 0.7500 0.7500 0.7500  4 Cr 2.69, 6 Ir 2.70-2.71, 2 Os 2.71
Cr 0.2500 0.2500 0.2500  4 Os 2.69, 6 Ir 2.69-2.71, 2 Cr 2.71
Ir 0.9988 0.9988 0.0024  6 Ir 2.68-2.71, 3 Cr 2.69-2.71, 3 Os 2.70-2.71
Ir 0.5012 0.5012 0.4976  6 Ir 2.68-2.71, 3 Cr 2.69-2.71, 3 Os 2.70-2.71

=====

Number 1: DFT total energy -40.4 eV/cell, formation energy 1712 meV per atom. Number 2: DFT total energy -94.5 eV/cell, formation energy 37 meV per atom. Number 3: DFT total energy -38.9 eV/cell, formation energy 115 meV per atom. Number 4: DFT total energy -148.9 eV/cell, formation energy -157 meV per atom. Number 5: DFT total energy -58.9 eV/cell, formation energy -60 meV per atom. Number 6: DFT total energy -39.1 eV/cell, formation energy 53 meV per atom. Number 7: DFT total energy -39.5 eV/cell, formation energy -34 meV per atom. Number 8: DFT total energy -39.4 eV/cell, formation energy -26 meV per atom. Number 9: DFT total energy -38.8 eV/cell, formation energy -61 meV per atom. Number 10: DFT total energy -39.5 eV/cell, formation energy -37 meV per atom. Number 11: DFT total energy -36.8 eV/cell, formation energy 433 meV per atom. Number 12: DFT total energy -39.4 eV/cell, formation energy -22 meV per atom. Number 13: DFT total energy -39.5 eV/cell, formation energy -30 meV per atom. Number 14: DFT total energy -38.7 eV/cell, formation energy -37 meV per atom.